A relaxed structure of Ba2SbS, computed with PBE.

E above lowest polymorph = 62 meV per atom
Crystal system = tetragonal
Fermi-level density of states = 1.09 states/eV/f.u.
M_tot = 0.000 μB/f.u.
ΔE_f (raw) = -1.3482 eV/atom

Unit cell a=3.917 b=3.917 c=8.608 alpha=90.00 beta=90.00 gamma=90.00
Space group P4/mmm (No. 123)
Asymmetric unit:
Ba1 0.000 0.000 0.220 (multiplicity 2)
Sb1 0.500 0.500 0.500 (multiplicity 1)
S1 0.500 0.500 0.000 (multiplicity 1)